(1)
## Th3SN3 (PBE)

Data for an optimized crystal structure of Th3SN3.

Values from the calculation:
Space group: R-3 (148)

Cell lengths 6.9669, 6.9669, 7.9580 Å; angles 64.04, 64.04, 60.00 degrees
Last column: nearest neighbours and their distance in Å.
Element x y z (fractional)
1 S 0.6669 0.6669 0.9994  6 Th 3.04-3.05
2 S 0.3331 0.3331 0.0006  6 Th 3.04-3.05
3 Th 0.2375 0.5711 0.2867  4 N 2.38-2.39
4 Th 0.0953 0.7625 0.7133  4 N 2.38-2.39
5 Th 0.9047 0.2375 0.2867  4 N 2.38-2.39
6 Th 0.5711 0.9047 0.2867  4 N 2.38-2.39
7 Th 0.7625 0.4289 0.7133  4 N 2.38-2.39
8 Th 0.4289 0.0953 0.7133  4 N 2.38-2.39
9 N 0.8771 0.5451 0.3670  4 Th 2.38-2.39
10 N 0.4549 0.7891 0.6330  4 Th 2.38-2.39
11 N 0.1229 0.4549 0.6330  4 Th 2.38-2.39
12 N 0.5451 0.2109 0.3670  4 Th 2.38-2.39
13 N 0.7891 0.1229 0.6330  4 Th 2.38-2.39
14 N 0.2109 0.8771 0.3670  4 Th 2.38-2.39

(2)
## Th2SN2 (PBE)

Data for an optimized crystal structure of Th2SN2.

Values from the calculation:
Space group: Fddd (70)

Cell lengths 6.2909, 6.2909, 6.5576 Å; angles 112.85, 112.85, 100.98 degrees
Last column: nearest neighbours and their distance in Å.
Element x y z (fractional)
1 S 0.7500 0.2500 0.5000  2 Th 2.93
2 S 0.5000 0.5000 0.0000  2 Th 2.93
3 N 0.1372 0.1372 0.2744  4 Th 2.37-2.40
4 N 0.3872 0.8872 0.7744  4 Th 2.37-2.40
5 N 0.1128 0.6128 0.2256  4 Th 2.37-2.40
6 N 0.8628 0.8628 0.7256  4 Th 2.37-2.40
7 Th 0.8014 0.1986 0.0000  4 N 2.37-2.40
8 Th 0.0514 0.9486 0.5000  4 N 2.37-2.40
9 Th 0.4486 0.5514 0.5000  4 N 2.37-2.40
10 Th 0.1986 0.8014 0.0000  4 N 2.37-2.40

Raw total energy: -9.1540; -8.9689 (eV/atom)